[1]
Compound: ErHfOs4
Source: the Alexandria database
Functional: PBE-GGA
Structure: optimized geometry

Cell and atoms, written as CIF:
```
data_ErHfOs4
_chemical_formula_sum 'Er1 Hf1 Os4'
_cell_length_a 5.278
_cell_length_b 5.278
_cell_length_c 5.278
_cell_angle_alpha 60.00
_cell_angle_beta 60.00
_cell_angle_gamma 60.00
_symmetry_space_group_name_H-M 'P 1'
_symmetry_Int_Tables_number 1
loop_
_symmetry_equiv_pos_as_xyz
'x,y,z'
loop_
_atom_site_label
_atom_site_type_symbol
_atom_site_fract_x
_atom_site_fract_y
_atom_site_fract_z
Er1 Er 0.000 0.000 0.000
Hf1 Hf 0.750 0.750 0.750
Os1 Os 0.375 0.375 0.375
Os2 Os 0.375 0.375 0.875
Os3 Os 0.375 0.875 0.375
Os4 Os 0.875 0.375 0.375
```

## Properties
**SG**: No. 216
**E_form**: -0.31 eV/atom
**Fermi-level density of states**: 0.855 states/eV per atom
**Raw total energy**: -10.212 eV per atom

---

[2]
Compound: FeTc3Te
Source: the Alexandria database
Functional: PBE-GGA
Structure: optimized geometry

Cell and atoms, written as CIF:
```
data_FeTc3Te
_chemical_formula_sum 'Fe1 Tc3 Te1'
_cell_length_a 4.469
_cell_length_b 4.469
_cell_length_c 4.469
_cell_angle_alpha 90.00
_cell_angle_beta 90.00
_cell_angle_gamma 90.00
_symmetry_space_group_name_H-M 'P 1'
_symmetry_Int_Tables_number 1
loop_
_symmetry_equiv_pos_as_xyz
'x,y,z'
loop_
_atom_site_label
_atom_site_type_symbol
_atom_site_fract_x
_atom_site_fract_y
_atom_site_fract_z
Fe1 Fe 0.000 0.000 0.000
Tc1 Tc 0.000 0.000 0.500
Tc2 Tc 0.000 0.500 0.000
Tc3 Tc 0.500 0.000 0.000
Te1 Te 0.500 0.500 0.500
```

## Properties
**Formation energy from raw total energies**: 1.19 eV per atom
**SG**: No. 221
**Energy above the most stable polymorph in this dataset**: 0 meV/atom
**Fermi-level density of states**: 1.349 states/eV per atom
**Raw total energy**: -7.355 eV per atom